[1]
The following is a DFT calculation (meta-GGA SCAN) of a PBEsol-optimized structure of LiReNi2.

Values from the calculation:
total energy: -26.3264 eV/atom
magnetic moment: 0.0 μB per cell
DFT formation energy: 0.132 eV per atom

Cell: 5.209 5.209 5.209 Å, 151.71 132.64 56.09°
Fractional coordinates of all 4 atoms:
Li 0.000 0.000 0.000
Re 0.712 0.212 0.500
Ni 0.269 0.769 0.500
Ni 0.488 0.488 0.000


[2]
The following is a DFT calculation (meta-GGA SCAN) of a PBEsol-optimized structure of CaCrSi2O6.

Values from the calculation:
total energy: -11.4598 eV/atom
magnetic moment: 8.0 μB per cell
formation energy (no corrections): -281.1 kJ/mol of atoms

Cell: 6.741 6.741 5.234 Å, 101.69 101.69 85.11°
Fractional coordinates of all 20 atoms:
Ca 0.200 0.800 0.750
Ca 0.800 0.200 0.250
Cr 0.404 0.596 0.250
Cr 0.596 0.404 0.750
Si 0.121 0.307 0.774
Si 0.307 0.121 0.274
Si 0.693 0.879 0.726
Si 0.879 0.693 0.226
O 0.107 0.615 0.325
O 0.130 0.173 0.013
O 0.173 0.130 0.513
O 0.292 0.477 0.862
O 0.385 0.893 0.175
O 0.477 0.292 0.362
O 0.523 0.708 0.638
O 0.615 0.107 0.825
O 0.708 0.523 0.138
O 0.827 0.870 0.487
O 0.870 0.827 0.987
O 0.893 0.385 0.675


[3]
The following is a DFT calculation (meta-GGA SCAN) of a PBEsol-optimized structure of CoRe2Si.

Values from the calculation:
total energy: -42.3208 eV/atom
magnetic moment: 1.3 μB per cell
formation energy (no corrections): 5.6 kJ/mol of atoms

Cell: 4.934 4.934 4.934 Å, 145.87 127.99 63.69°
Fractional coordinates of all 4 atoms:
Co 0.000 0.000 0.000
Re 0.265 0.765 0.500
Re 0.735 0.235 0.500
Si 0.500 0.500 0.000